No. 1
VASP calculation (PBE-GGA) on an optimized crystal structure of Ho3Er3TmTe8.

Values from the calculation:
The density of states at the Fermi level is 0.44 states/eV/atom. The uncorrected formation energy comes out at -1317 meV/atom. The calculation puts the volume at 453 Å³/cell. Its space-group type is R-3m, No. 166. The total moment comes out at 0.00 μB per cell.

Cell lengths 8.619, 8.618, 8.620 Å; angles 120.00, 90.00, 120.00 degrees
Element x y z (fractional)
Te  0.254  0.001  0.755
Te  0.254  0.509  0.755
Te  0.750  0.501  0.751
Te  0.253  0.999  0.245
Te  0.250  0.499  0.249
Te  0.746  0.999  0.245
Te  0.746  0.491  0.245
Te  0.747  0.001  0.755
Ho  0.500  0.500  0.500
Ho  0.500  0.000  0.500
Ho  0.000  0.500  0.500
Er  0.000  0.500  0.000
Er  0.000  0.000  0.000
Er  0.500  0.500  0.000
Tm  0.000  0.000  0.500

No. 2
VASP calculation (PBE-GGA) on an optimized crystal structure of PaCdPb2O8.

Values from the calculation:
The density of states at the Fermi level is 0.90 states/eV/atom. The uncorrected formation energy comes out at -1367 meV/atom. The calculation puts the volume at 191 Å³/cell. Its space-group type is I-4m2, No. 119. The total moment comes out at 0.55 μB per cell.

Cell lengths 6.283, 6.283, 6.283 Å; angles 110.50, 110.50, 107.42 degrees
Last column: magnetic moment on the atom in μB.
Element x y z (fractional)
Pb  0.750  0.250  0.500  0.00
Pb  0.500  0.500  0.000  0.00
O  0.900  0.698  0.202  0.03
O  0.302  0.504  0.202  0.03
O  0.302  0.100  0.798  0.03
O  0.496  0.698  0.798  0.03
O  0.969  0.284  0.315  0.09
O  0.716  0.031  0.685  0.09
O  0.969  0.654  0.685  0.09
O  0.346  0.031  0.315  0.09
Cd  0.000  0.000  0.000  0.02
Pa  0.250  0.750  0.500  -0.01

No. 3
VASP calculation (PBE-GGA) on an optimized crystal structure of CaCePm2.

Values from the calculation:
The density of states at the Fermi level is 2.36 states/eV/atom. The calculation puts the formation energy at 0.174 eV per atom. The calculation puts the volume at 138 Å³/cell. Its space-group type is P4/mmm, No. 123. The total moment comes out at 1.30 μB per cell.

Cell lengths 5.095, 5.210, 5.210 Å; angles 90.00, 90.00, 90.00 degrees
Last column: magnetic moment on the atom in μB.
Element x y z (fractional)
Ce  0.500  0.000  0.000  0.86
Ca  0.500  0.500  0.500  0.01
Pm  0.000  0.500  0.000  0.05
Pm  0.000  0.000  0.500  0.05

No. 4
VASP calculation (PBE-GGA) on an optimized crystal structure of Pm4Te2CN.

Values from the calculation:
The density of states at the Fermi level is 0.33 states/eV/atom. The uncorrected formation energy comes out at -1076 meV/atom. The calculation puts the volume at 190 Å³/cell. Its space-group type is P2/m, No. 10. The total moment comes out at 0.00 μB per cell.

Cell lengths 3.916, 6.784, 7.520 Å; angles 107.54, 90.00, 90.00 degrees
Element x y z (fractional)
Pm  0.500  0.771  0.812
Pm  0.000  0.730  0.192
Pm  0.000  0.270  0.808
Pm  0.500  0.229  0.188
Te  0.500  0.000  0.500
Te  0.000  0.500  0.500
N  0.000  0.000  0.000
C  0.500  0.500  0.000

No. 5
VASP calculation (PBE-GGA) on an optimized crystal structure of Hg2H3.

Values from the calculation:
The density of states at the Fermi level is 0.11 states/eV/atom. The calculated total energy comes out at -18.89 eV/cell. The calculation puts the volume at 166 Å³/cell. Its space-group type is Cc, No. 9. The total moment comes out at 0.00 μB per cell.

Cell lengths 5.724, 17.005, 3.331 Å; angles 89.73, 30.78, 89.69 degrees
Element x y z (fractional)
H  0.390  0.500  0.620
H  0.760  0.000  0.880
H  0.760  0.943  0.878
H  0.396  0.557  0.609
H  0.388  0.443  0.622
H  0.755  0.057  0.891
Hg  0.684  0.831  0.030
Hg  0.479  0.668  0.444
Hg  0.464  0.331  0.470
Hg  0.672  0.168  0.056

No. 6
VASP calculation (PBE-GGA) on an optimized crystal structure of CdCoP.

Values from the calculation:
The density of states at the Fermi level is 0.38 states/eV/atom. The calculation puts the formation energy at -0.178 eV per atom. The calculation puts the volume at 93 Å³/cell. Its space-group type is P4/nmm, No. 129. The total moment comes out at 1.12 μB per cell.

Cell lengths 3.896, 3.896, 6.094 Å; angles 90.00, 90.00, 90.00 degrees
Last column: magnetic moment on the atom in μB.
Element x y z (fractional)
P  0.000  0.500  0.306  0.01
P  0.500  0.000  0.694  0.01
Cd  0.000  0.500  0.855  0.00
Cd  0.500  0.000  0.145  0.00
Co  0.500  0.500  0.500  0.57
Co  0.000  0.000  0.500  0.57

No. 7
VASP calculation (PBE-GGA) on an optimized crystal structure of MoPIr2.

Values from the calculation:
The density of states at the Fermi level is 0.67 states/eV/atom. The calculation puts the formation energy at -0.187 eV per atom. The calculation puts the volume at 57 Å³/cell. Its space-group type is Imm2, No. 44. The total moment comes out at 0.00 μB per cell.

Cell lengths 5.242, 5.242, 5.242 Å; angles 148.32, 130.43, 60.03 degrees
Element x y z (fractional)
Ir  0.957  0.957  0.000
Ir  0.254  0.754  0.500
P  0.753  0.253  0.500
Mo  0.535  0.535  0.000

No. 8
VASP calculation (PBE-GGA) on an optimized crystal structure of GeMo3I.

Values from the calculation:
The density of states at the Fermi level is 1.05 states/eV/atom. The uncorrected formation energy comes out at 1575 meV/atom. The calculation puts the volume at 106 Å³/cell. Its space-group type is Pm-3m, No. 221. The total moment comes out at 0.00 μB per cell.

Cell lengths 4.730, 4.730, 4.730 Å; angles 90.00, 90.00, 90.00 degrees
Element x y z (fractional)
I  0.500  0.500  0.500
Mo  0.500  0.000  0.000
Mo  0.000  0.000  0.500
Mo  0.000  0.500  0.000
Ge  0.000  0.000  0.000

No. 9
VASP calculation (PBE-GGA) on an optimized crystal structure of Ba3CdRh2O6.

Values from the calculation:
The density of states at the Fermi level is 0.41 states/eV/atom. The uncorrected formation energy comes out at -1327 meV/atom. The calculation puts the volume at 228 Å³/cell. Its space-group type is P-3m1, No. 164. The total moment comes out at 0.00 μB per cell.

Cell lengths 6.170, 6.170, 6.919 Å; angles 90.00, 90.00, 120.00 degrees
Element x y z (fractional)
Ba  0.333  0.667  0.648
Ba  0.000  0.000  0.000
Ba  0.667  0.333  0.352
Cd  0.000  0.000  0.500
Rh  0.667  0.333  0.826
Rh  0.333  0.667  0.174
O  0.169  0.831  0.297
O  0.831  0.169  0.703
O  0.831  0.662  0.703
O  0.662  0.831  0.297
O  0.338  0.169  0.703
O  0.169  0.338  0.297

No. 10
VASP calculation (PBE-GGA) on an optimized crystal structure of Hf2AlP.

Values from the calculation:
The density of states at the Fermi level is 0.83 states/eV/atom. The calculation puts the formation energy at -0.255 eV per atom. The calculation puts the volume at 72 Å³/cell. Its space-group type is Fm-3m, No. 225. The total moment comes out at 0.00 μB per cell.

Cell lengths 4.670, 4.670, 4.670 Å; angles 60.00, 60.00, 60.00 degrees
Element x y z (fractional)
P  0.500  0.500  0.500
Al  0.000  0.000  0.000
Hf  0.250  0.250  0.250
Hf  0.750  0.750  0.750

No. 11
VASP calculation (PBE-GGA) on an optimized crystal structure of CaPmTmTh.

Values from the calculation:
The density of states at the Fermi level is 2.19 states/eV/atom. The calculation puts the formation energy at 0.229 eV per atom. The calculation puts the volume at 135 Å³/cell. Its space-group type is F-43m, No. 216. The total moment comes out at 0.15 μB per cell.

Cell lengths 5.757, 5.757, 5.757 Å; angles 60.00, 60.00, 60.00 degrees
Element x y z (fractional)
Tm  0.250  0.250  0.250
Th  0.000  0.000  0.000
Pm  0.750  0.750  0.750
Ca  0.500  0.500  0.500

No. 12
VASP calculation (PBE-GGA) on an optimized crystal structure of HOsRu2.

Values from the calculation:
The density of states at the Fermi level is 0.98 states/eV/atom. The calculated total energy comes out at -63.17 eV/cell. The calculation puts the volume at 93 Å³/cell. Its space-group type is I-42d, No. 122. The total moment comes out at 0.00 μB per cell.

Cell lengths 6.031, 6.031, 4.970 Å; angles 52.64, 52.64, 90.00 degrees
Element x y z (fractional)
Os  0.750  0.250  0.500
Os  0.000  0.000  0.000
Ru  0.527  0.125  0.250
Ru  0.375  0.473  0.750
Ru  0.875  0.777  0.750
Ru  0.223  0.625  0.250
H  0.500  0.500  0.000
H  0.250  0.750  0.500

Question: What is the formula in the eighth record?
Answer: GeMo3I